Material: PrPaSb2
Method: DFT, PBE
State: relaxed Values from VASP.

Quantum ESPRESSO input file:
```
&SYSTEM
  ibrav = 0, nat = 4, ntyp = 3
/
ATOMIC_SPECIES
Pr 140.91 Pr.upf
Pa 231.04 Pa.upf
Sb 121.76 Sb.upf
CELL_PARAMETERS angstrom
3.8040 0.0000 0.0000
0.0000 3.8040 0.0000
0.0000 0.0000 7.6934
ATOMIC_POSITIONS crystal
Pr 0.0000 0.0000 0.0000
Pa 0.0000 0.0000 0.5000
Sb 0.5000 0.5000 0.2671
Sb 0.5000 0.5000 0.7329
```

Computed properties:
Energy relative to the elements, uncorrected: -2.67 eV/f.u.
Electronic total energy: -6.298 eV/atom
Space-group type: P4/mmm
Crystal system: tetragonal
ΔE to the lowest computed polymorph: 0.138 eV/atom

---

Material: ZnCdCS2
Method: DFT, PBE
State: relaxed Values from VASP.

Quantum ESPRESSO input file:
```
&SYSTEM
  ibrav = 0, nat = 5, ntyp = 4
/
ATOMIC_SPECIES
Zn 65.41 Zn.upf
Cd 112.41 Cd.upf
C 12.01 C.upf
S 32.06 S.upf
CELL_PARAMETERS angstrom
4.9377 0.0000 0.0000
0.0000 4.9377 0.0000
0.0000 0.0000 3.7702
ATOMIC_POSITIONS crystal
Zn 0.0000 0.0000 0.0000
Cd 0.5000 0.5000 0.5000
C 0.0000 0.0000 0.5000
S 0.0000 0.5000 0.0000
S 0.5000 0.0000 0.0000
```

Computed properties:
Energy relative to the elements, uncorrected: 5.28 eV/f.u.
Electronic total energy: -2.877 eV/atom
Space-group type: P4/mmm
Crystal system: tetragonal

---

Please write out number 1 again, unchanged.
Material: PrPaSb2
Method: DFT, PBE
State: relaxed Values from VASP.

Quantum ESPRESSO input file:
```
&SYSTEM
  ibrav = 0, nat = 4, ntyp = 3
/
ATOMIC_SPECIES
Pr 140.91 Pr.upf
Pa 231.04 Pa.upf
Sb 121.76 Sb.upf
CELL_PARAMETERS angstrom
3.8040 0.0000 0.0000
0.0000 3.8040 0.0000
0.0000 0.0000 7.6934
ATOMIC_POSITIONS crystal
Pr 0.0000 0.0000 0.0000
Pa 0.0000 0.0000 0.5000
Sb 0.5000 0.5000 0.2671
Sb 0.5000 0.5000 0.7329
```

Computed properties:
Energy relative to the elements, uncorrected: -2.67 eV/f.u.
Electronic total energy: -6.298 eV/atom
Space-group type: P4/mmm
Crystal system: tetragonal
ΔE to the lowest computed polymorph: 0.138 eV/atom

---

Q: The lowest energy relative to the elements, uncorrected belongs to which entry?
A: PrPaSb2

---

Q: Among the records above, which one has the lowest energy relative to the elements, uncorrected?
A: PrPaSb2

---

Please write out number 2 again, unchanged.
Material: ZnCdCS2
Method: DFT, PBE
State: relaxed Values from VASP.

Quantum ESPRESSO input file:
```
&SYSTEM
  ibrav = 0, nat = 5, ntyp = 4
/
ATOMIC_SPECIES
Zn 65.41 Zn.upf
Cd 112.41 Cd.upf
C 12.01 C.upf
S 32.06 S.upf
CELL_PARAMETERS angstrom
4.9377 0.0000 0.0000
0.0000 4.9377 0.0000
0.0000 0.0000 3.7702
ATOMIC_POSITIONS crystal
Zn 0.0000 0.0000 0.0000
Cd 0.5000 0.5000 0.5000
C 0.0000 0.0000 0.5000
S 0.0000 0.5000 0.0000
S 0.5000 0.0000 0.0000
```

Computed properties:
Energy relative to the elements, uncorrected: 5.28 eV/f.u.
Electronic total energy: -2.877 eV/atom
Space-group type: P4/mmm
Crystal system: tetragonal